Material: Nd2PuGe
Method: DFT, PBE
State: relaxed

Structure (extended XYZ):
```
4
Lattice="4.5367 0.0000 0.0000 0.0000 4.8529 0.0000 0.0000 0.0000 4.8529" Properties=species:S:1:pos:R:3 pbc="T T T"
Ge 2.2684 0.0000 0.0000
Nd 0.0000 0.0000 2.4265
Nd 0.0000 2.4265 0.0000
Pu 2.2684 2.4265 2.4265
```

Results
Formation energy from the elements ... -0.2547 eV per atom
Energy ... -29.5 eV per cell
Energy relative to the lowest polymorph listed for this composition ... 0 meV per atom